[1]
Crystalline AlSb3F at its relaxed geometry. Source: Alexandria via LeMat-Bulk, functional PBE.

Cell and atoms, written as extended XYZ:
```
5
Lattice="4.940 0.000 0.000 0.000 4.940 0.000 0.000 0.000 4.940" Properties=species:S:1:pos:R:3 pbc="T T T"
Al 0.000 0.000 0.000
Sb 0.000 2.470 2.470
Sb 2.470 0.000 2.470
Sb 2.470 2.470 0.000
F 2.470 2.470 2.470
```

## Properties
* ρ: 5665 kg/m3
* uncorrected formation energy: 31 meV/atom

=====

[2]
Crystalline AlSbF at its relaxed geometry. Source: Alexandria via LeMat-Bulk, functional PBE.

Cell and atoms, written as extended XYZ:
```
6
Lattice="4.579 0.000 0.000 0.997 5.125 0.000 1.132 1.134 5.928" Properties=species:S:1:pos:R:3 pbc="T T T"
Al 0.000 0.000 0.000
Al 2.922 4.120 3.413
Sb 1.856 1.018 1.657
Sb 5.233 2.650 3.706
F 3.155 5.049 4.974
F 4.431 3.949 0.464
```

## Properties
* ρ: 4004 kg/m3
* uncorrected formation energy: -1386 meV/atom

=====

[3]
Crystalline AlSb2F8 at its relaxed geometry. Source: Alexandria via LeMat-Bulk, functional PBE.

Cell and atoms, written as extended XYZ:
```
11
Lattice="4.313 -2.775 0.000 4.313 2.775 0.000 -1.240 0.000 6.359" Properties=species:S:1:pos:R:3 pbc="T T T"
Al 0.000 0.000 0.000
Sb 1.930 0.000 3.992
Sb 5.455 0.000 2.368
F -0.146 0.000 4.907
F 2.053 1.459 5.553
F 5.333 1.459 0.807
F 3.482 0.000 1.966
F 3.903 0.000 4.394
F 2.053 -1.459 5.553
F 5.333 -1.459 0.807
F 7.531 0.000 1.452
```

## Properties
* ρ: 4608 kg/m3
* uncorrected formation energy: -2542 meV/atom

=====

Number 1: V 120.6 Å³/cell. Number 2: V 139.1 Å³/cell. Number 3: V 152.2 Å³/cell.